First-principles (PBE) data for HgB2Te after structural relaxation, as listed in Alexandria.

Formation energy without anion corrections: 1.008 eV/atom
Polymorph energy (0 for the lowest one): 0.00 eV per formula unit

```
HgB2Te
1.0
5.4475 0.0000 0.0000
0.0000 5.4475 0.0000
2.7237 2.7237 4.9833
B Te Hg
4 2 2
Direct
0.6217 0.1250 0.2500
0.1283 0.6250 0.2500
0.8750 0.8717 0.7500
0.3750 0.3783 0.7500
0.2500 0.7500 0.5000
0.5000 0.5000 0.0000
0.7500 0.2500 0.5000
0.0000 0.0000 0.0000
```

---

First-principles (PBE) data for NpSI after structural relaxation, as listed in Alexandria.

Formation energy without anion corrections: -1.070 eV/atom

```
NpSI
1.0
-3.9885 5.8221 0.2858
-3.4300 -2.3733 0.4813
2.1418 1.3019 3.3685
I S Np
1 1 1
Direct
0.7498 0.6667 0.3333
0.2058 0.3333 0.6667
0.0444 0.0000 0.0000
```

---

First-principles (PBE) data for Ta2TeRh after structural relaxation, as listed in Alexandria.

Formation energy without anion corrections: 0.039 eV/atom

```
Ta2TeRh
1.0
2.3958 -4.3023 1.6736
3.4231 -1.8071 3.4739
-2.8125 -1.3219 3.4368
Te Ta Rh
1 2 1
Direct
0.5000 0.5000 0.0000
0.7454 0.7454 0.2659
0.2546 0.2546 0.7341
0.0000 0.0000 0.5000
```

---

First-principles (PBE) data for TaAg2Cl after structural relaxation, as listed in Alexandria.

Formation energy without anion corrections: 1.013 eV/atom
Polymorph energy (0 for the lowest one): 3.91 eV per formula unit

```
TaAg2Cl
1.0
0.0000 3.3897 3.3897
3.3897 0.0000 3.3897
3.3897 3.3897 0.0000
Ta Cl Ag
1 1 2
Direct
0.5000 0.5000 0.5000
0.0000 0.0000 0.0000
0.7500 0.7500 0.7500
0.2500 0.2500 0.2500
```

---

First-principles (PBE) data for Fe2OsPt after structural relaxation, as listed in Alexandria.

Formation energy from the elements: 0.082 eV per atom
Polymorph energy (0 for the lowest one): 0.34 eV per formula unit

```
Fe2OsPt
1.0
-3.7751 -0.5420 -0.0885
0.4531 -2.7265 -2.6293
0.2959 -2.4914 2.6345
Pt Fe Os
1 2 1
Direct
0.0000 0.5000 0.5000
0.0000 0.0000 0.0000
0.5000 0.5000 0.0000
0.5000 0.0000 0.5000
```

---

First-principles (PBE) data for Ge2BiAs2 after structural relaxation, as listed in Alexandria.

Formation energy from the elements: 0.287 eV per atom
Polymorph energy (0 for the lowest one): 0.11 eV per formula unit

```
Ge2BiAs2
1.0
-3.4564 -1.3850 -1.1936
1.8061 -2.9840 -1.7674
-1.3759 -6.2709 4.8560
As Ge Bi
2 2 1
Direct
0.2500 0.7500 0.5000
0.7500 0.2500 0.5000
0.3910 0.3910 0.2179
0.6090 0.6090 0.7821
0.0000 0.0000 0.0000
```

---

First-principles (PBE) data for Cs2NaHgSb after structural relaxation, as listed in Alexandria.

Formation energy without anion corrections: -0.213 eV/atom

```
Cs2NaHgSb
1.0
7.5429 0.0000 0.0000
0.0000 7.5429 0.0000
0.0000 0.0000 5.9247
Sb Na Hg Cs
1 1 1 2
Direct
0.0000 0.0000 0.0000
0.0000 0.0000 0.5000
0.5000 0.5000 0.5000
0.0000 0.5000 0.0000
0.5000 0.0000 0.0000
```

---

First-principles (PBE) data for Cs3SmPu2Se6 after structural relaxation, as listed in Alexandria.

Formation energy without anion corrections: -1.526 eV/atom

```
Cs3SmPu2Se6
1.0
7.5281 -0.0009 0.0001
-3.7630 6.5201 0.0001
-1.2555 -2.1738 8.3608
Se Cs Sm Pu
6 3 1 2
Direct
0.3980 0.0621 0.1862
0.2742 0.2742 0.8143
0.0621 0.3980 0.1862
0.7258 0.7258 0.1857
0.6020 0.9379 0.8138
0.9379 0.6020 0.8138
0.5000 0.5000 0.5000
0.8343 0.1657 0.5000
0.1657 0.8343 0.5000
0.0000 0.0000 0.0000
0.6668 0.3332 0.0000
0.3332 0.6668 0.0000
```

---

First-principles (PBE) data for Ti4Ge6Os7 after structural relaxation, as listed in Alexandria.

Formation energy from the elements: -0.306 eV per atom

```
Ti4Ge6Os7
1.0
6.5693 0.0000 -2.3226
-3.2847 5.6892 -2.3226
0.0000 0.0000 6.9678
Ge Os Ti
6 7 4
Direct
0.0000 0.6968 0.6968
0.0000 0.3032 0.3032
0.3032 0.3032 0.0000
0.6968 0.0000 0.6968
0.6968 0.6968 0.0000
0.3032 0.0000 0.3032
0.5000 0.2500 0.7500
0.5000 0.7500 0.2500
0.2500 0.5000 0.7500
0.0000 0.0000 0.0000
0.7500 0.2500 0.5000
0.2500 0.7500 0.5000
0.7500 0.5000 0.2500
0.0000 0.5000 0.0000
0.5000 0.0000 0.0000
0.5000 0.5000 0.5000
0.0000 0.0000 0.5000
```

---

First-principles (PBE) data for SiRu2Cl after structural relaxation, as listed in Alexandria.

Formation energy without anion corrections: 0.384 eV/atom
Polymorph energy (0 for the lowest one): 1.78 eV per formula unit

```
SiRu2Cl
1.0
-3.0791 -1.9845 2.2107
-0.7127 1.0464 4.0870
-3.5609 2.1131 1.0776
Cl Si Ru
1 1 2
Direct
0.5000 0.5000 0.5000
0.0000 0.0000 0.0000
0.2500 0.2500 0.2500
0.7500 0.7500 0.7500
```

---

First-principles (PBE) data for Na2LiAcBr6 after structural relaxation, as listed in Alexandria.

Formation energy without anion corrections: -1.710 eV/atom

```
Na2LiAcBr6
1.0
7.4855 0.0028 -0.0003
3.7452 6.4819 0.0002
3.7429 2.1623 6.7381
Li Br Na Ac
1 6 2 1
Direct
0.8177 0.8180 0.5457
0.9163 0.6141 0.2637
0.6139 0.2061 0.2638
0.4382 0.7214 0.7485
0.7216 0.0915 0.7487
0.0915 0.4384 0.7487
0.2061 0.9163 0.2636
0.0185 0.0185 0.9449
0.5179 0.5176 0.4468
0.3198 0.3197 0.0407
```

---

First-principles (PBE) data for SmHoErAl after structural relaxation, as listed in Alexandria.

Formation energy from the elements: -0.051 eV per atom

```
SmHoErAl
1.0
5.3576 0.0000 0.0000
2.6788 4.6398 0.0000
2.6788 1.5466 4.3745
Sm Ho Al Er
1 1 1 1
Direct
0.2500 0.2500 0.2500
0.0000 0.0000 0.0000
0.5000 0.5000 0.5000
0.7500 0.7500 0.7500
```

---

First-principles (PBE) data for Rb4Dy3GeO8 after structural relaxation, as listed in Alexandria.

Formation energy without anion corrections: -2.277 eV/atom

```
Rb4Dy3GeO8
1.0
6.9280 0.0000 0.0000
0.0000 7.6512 0.4942
-3.4640 -3.4533 4.9068
Rb O Ge Dy
4 8 1 3
Direct
0.5000 0.0000 0.5000
0.0000 0.0000 0.0000
0.5000 0.0000 0.0000
0.0000 0.0000 0.5000
0.7797 0.3258 0.5593
0.2203 0.6742 0.4407
0.2748 0.3243 0.5496
0.7798 0.3259 0.0462
0.7252 0.6757 0.4504
0.7336 0.6741 0.9538
0.2202 0.6741 0.9538
0.2664 0.3259 0.0462
0.0000 0.5000 0.0000
0.5000 0.5000 0.5000
0.0000 0.5000 0.5000
0.5000 0.5000 0.0000
```

---

First-principles (PBE) data for PmScGaHg after structural relaxation, as listed in Alexandria.

Formation energy from the elements: -0.474 eV per atom

```
PmScGaHg
1.0
5.1157 0.0000 0.0000
2.5578 4.4303 0.0000
2.5578 1.4768 4.1769
Sc Pm Hg Ga
1 1 1 1
Direct
0.5000 0.5000 0.5000
0.0000 0.0000 0.0000
0.7500 0.7500 0.7500
0.2500 0.2500 0.2500
```

---

First-principles (PBE) data for HgTeSe after structural relaxation, as listed in Alexandria.

Formation energy without anion corrections: 0.318 eV/atom
Polymorph energy (0 for the lowest one): 0.76 eV per formula unit

```
HgTeSe
1.0
5.0443 0.0000 0.0000
2.5221 4.3685 0.0000
2.5221 1.4562 4.1186
Te Hg Se
1 1 1
Direct
0.2500 0.2500 0.2500
0.0000 0.0000 0.0000
0.5000 0.5000 0.5000
```

---

First-principles (PBE) data for LiZn2S2 after structural relaxation, as listed in Alexandria.

Formation energy without anion corrections: -0.482 eV/atom

```
LiZn2S2
1.0
7.3067 0.0000 0.0000
0.0000 7.3067 0.0000
0.0000 0.0000 3.7030
Li S Zn
2 4 4
Direct
0.0000 0.0000 0.0000
0.5000 0.5000 0.0000
0.2461 0.2539 0.0000
0.7461 0.2461 0.0000
0.7539 0.7461 0.0000
0.2539 0.7539 0.0000
0.8790 0.3790 0.5000
0.1210 0.6210 0.5000
0.3790 0.1210 0.5000
0.6210 0.8790 0.5000
```

---

First-principles (PBE) data for K2PaAsS5 after structural relaxation, as listed in Alexandria.

Formation energy without anion corrections: -1.103 eV/atom

```
K2PaAsS5
1.0
4.2415 0.0000 0.0000
-2.1208 8.9744 0.0000
0.0000 0.0000 14.0951
S Pa As K
10 2 2 4
Direct
0.2823 0.5647 0.6541
0.6573 0.3146 0.4924
0.3427 0.6854 0.9924
0.9366 0.8731 0.5452
0.3196 0.6391 0.4108
0.4922 0.9844 0.2834
0.7177 0.4353 0.1541
0.0635 0.1269 0.0452
0.5078 0.0156 0.7834
0.6804 0.3609 0.9108
0.7919 0.5838 0.5366
0.2081 0.4162 0.0366
0.5492 0.0983 0.9290
0.4508 0.9017 0.4290
0.9006 0.8013 0.1538
0.1317 0.2633 0.3187
0.8683 0.7367 0.8187
0.0993 0.1987 0.6538
```

---

First-principles (PBE) data for CaNi2Br after structural relaxation, as listed in Alexandria.

Formation energy without anion corrections: 0.108 eV/atom
Polymorph energy (0 for the lowest one): 1.48 eV per formula unit

```
CaNi2Br
1.0
-1.4227 2.1342 -2.8282
-1.2324 -3.1552 -1.7610
-4.9602 0.3834 2.7845
Ni Br Ca
2 1 1
Direct
0.0000 0.0000 0.5514
0.0000 0.0000 0.9486
0.5000 0.5000 0.2500
0.5000 0.5000 0.7500
```

---

First-principles (PBE) data for YBeNiI2 after structural relaxation, as listed in Alexandria.

Formation energy without anion corrections: 0.468 eV/atom
Polymorph energy (0 for the lowest one): 0.00 eV per formula unit

```
YBeNiI2
1.0
-3.1191 1.6468 3.7340
-4.0951 -0.3438 -3.2691
-0.7807 -4.8537 1.4885
Be Y I Ni
1 1 2 1
Direct
0.5000 0.5000 0.5000
0.0000 0.5000 0.0000
0.5000 0.0000 0.0000
0.0000 0.0000 0.5000
0.0000 0.0000 0.0000
```

---

First-principles (PBE) data for BaAsPd2C after structural relaxation, as listed in Alexandria.

Formation energy from the elements: 0.403 eV per atom

```
BaAsPd2C
1.0
-3.8714 -2.1233 2.0750
0.2468 -3.2942 -2.9105
2.9562 -2.4430 3.0157
C Pd Ba As
1 2 1 1
Direct
0.0000 0.5000 0.0000
0.0000 0.0000 0.5000
0.5000 0.0000 0.0000
0.5000 0.5000 0.5000
0.0000 0.0000 0.0000
```

---

First-principles (PBE) data for Li7Cd2In after structural relaxation, as listed in Alexandria.

Formation energy from the elements: 0.059 eV per atom
Polymorph energy (0 for the lowest one): 1.97 eV per formula unit

```
Li7Cd2In
1.0
-4.0188 1.6182 1.5260
-3.8741 -4.5967 -5.3281
1.9390 -2.2287 7.4699
In Li Cd
1 7 2
Direct
0.0000 0.0000 0.0000
0.5000 0.2824 0.0700
0.5000 0.0700 0.2824
0.5000 0.7176 0.9300
0.5000 0.9300 0.7176
0.0000 0.7994 0.2006
0.0000 0.2006 0.7994
0.5000 0.5000 0.5000
0.5000 0.7007 0.2993
0.5000 0.2993 0.7007
```

---

First-principles (PBE) data for HgBr4Cl after structural relaxation, as listed in Alexandria.

Formation energy without anion corrections: 0.525 eV/atom

```
HgBr4Cl
1.0
-3.6139 -4.4263 -2.3628
-5.8923 1.2418 -1.4050
-1.7731 0.2870 -5.9168
Br Hg Cl
4 1 1
Direct
0.8757 0.3748 0.3748
0.3748 0.8757 0.3748
0.3748 0.3748 0.8757
0.3748 0.3748 0.3748
0.0000 0.0000 0.0000
0.7500 0.7500 0.7500
```

---

First-principles (PBE) data for ZnAs2Rh after structural relaxation, as listed in Alexandria.

Formation energy from the elements: -0.041 eV per atom

```
ZnAs2Rh
1.0
5.6482 0.0000 0.0000
0.0000 5.6482 0.0000
2.8241 2.8241 5.5661
As Zn Rh
4 2 2
Direct
0.6439 0.1250 0.2500
0.1061 0.6250 0.2500
0.8750 0.8939 0.7500
0.3750 0.3561 0.7500
0.5000 0.5000 0.0000
0.2500 0.7500 0.5000
0.0000 0.0000 0.0000
0.7500 0.2500 0.5000
```

---

First-principles (PBE) data for Sr2PmInS5 after structural relaxation, as listed in Alexandria.

Formation energy without anion corrections: -1.681 eV/atom

```
Sr2PmInS5
1.0
-0.5294 -0.3355 4.0538
-0.7384 -8.4613 -2.8720
12.5336 -1.6043 1.5042
S Sr Pm In
10 4 2 2
Direct
0.7150 0.4300 0.1647
0.9497 0.8993 0.5612
0.6819 0.3639 0.8681
0.5076 0.0152 0.2688
0.2850 0.5700 0.6647
0.3710 0.7420 0.0004
0.3181 0.6361 0.3681
0.4924 0.9848 0.7688
0.0503 0.1007 0.0612
0.6290 0.2580 0.5004
0.1118 0.2237 0.6878
0.1356 0.2712 0.3066
0.8882 0.7763 0.1878
0.8644 0.7288 0.8066
0.2143 0.4286 0.0144
0.7857 0.5714 0.5144
0.4697 0.9393 0.4519
0.5303 0.0607 0.9519
```